(1)
Entry from the Alexandria database: KPb at its PBEsol-relaxed geometry (SCAN).

Lattice parameters (Å, degrees): 3.4013 3.4013 5.7076 90.00 90.00 90.00
Closest atoms and distances in Å follow each position.
Space group P4/mmm (No. 123)
Asymmetric unit:
1 K 0.0000 0.0000 0.0000 [1 per cell]  4 K 3.40, 8 Pb 3.73
2 Pb 0.5000 0.5000 0.5000 [1 per cell]  4 Pb 3.40, 8 K 3.73

Output
formation enthalpy at 0 K = -0.168 eV/atom
density of states at the Fermi level = 1.48 states/eV/cell
V = 33.0 Å³/atom
calculated density = 6.19 g/cm³
final energy = -3.1033 Ry/atom



(2)
Entry from the Alexandria database: LaBe at its PBEsol-relaxed geometry (SCAN).

Lattice parameters (Å, degrees): 5.9887 5.9887 5.9887 90.00 90.00 90.00
Closest atoms and distances in Å follow each position.
Space group Fm-3m (No. 225)
Asymmetric unit:
1 La 0.0000 0.0000 0.0000 [4 per cell]  6 Be 2.99
2 Be 0.0000 0.0000 0.5000 [4 per cell]  6 La 2.99

Output
formation enthalpy at 0 K = 0.595 eV/atom
density of states at the Fermi level = 8.31 states/eV/cell
V = 26.8 Å³/atom
calculated density = 4.57 g/cm³
final energy = -1.7004 Ry/atom



(3)
Entry from the Alexandria database: TiFeSi at its PBEsol-relaxed geometry (SCAN).

Lattice parameters (Å, degrees): 6.8653 10.6238 6.1760 90.00 90.00 90.00
Closest atoms and distances in Å follow each position.
Space group Ima2 (No. 46)
Asymmetric unit:
1 Ti 0.2500 0.0035 0.0000 [4 per cell]  5 Si 2.50-2.55, 4 Fe 2.69-2.71
2 Ti 0.2500 0.2269 0.6528 [4 per cell]  5 Si 2.51-2.57, 2 Fe 2.67
3 Ti 0.2500 0.6951 0.1174 [4 per cell]  5 Si 2.52-2.72, 6 Fe 2.59-2.71
4 Fe 0.0000 0.0000 0.6653 [4 per cell]  4 Si 2.35-2.38
5 Fe 0.0340 0.6231 0.7966 [8 per cell]  4 Si 2.29-2.37
6 Si 0.0088 0.6675 0.4221 [8 per cell]  3 Fe 2.36-2.38, 6 Ti 2.50-2.54
7 Si 0.2500 0.0308 0.4104 [4 per cell]  6 Fe 2.29-2.35, 2 Ti 2.55-2.57

Output
density of states at the Fermi level = 11.92 states/eV/cell
V = 12.5 Å³/atom
calculated density = 5.83 g/cm³
ΔE_f (raw) = -0.68 eV per atom
final energy = -1.1324 Ry/atom